(1)
A plane-wave DFT calculation with PBE was carried out for a geometry-optimized CaDyPt2 structure.

Structure (POSCAR):
```
CaDyPt2
1.0
3.4817 0.0000 0.0000
0.0000 3.4817 0.0000
0.0000 0.0000 7.0488
Ca Dy Pt
1 1 2
Cartesian
0.0000 0.0000 0.0000 Ca
0.0000 0.0000 3.5244 Dy
1.7408 1.7408 1.8917 Pt
1.7408 1.7408 5.1571 Pt
```

Output
DFT formation energy: -1113 meV/atom
offset from the most stable computed form: 0.0 meV/atom



(2)
A plane-wave DFT calculation with PBE was carried out for a geometry-optimized KLiCr2 structure.

Structure (POSCAR):
```
KLiCr2
1.0
4.2334 -1.5201 0.0000
4.2334 1.5201 0.0000
-0.6142 0.0000 7.7957
K Li Cr
1 1 2
Cartesian
0.0000 0.0000 0.0000 K
1.5678 0.0000 4.9532 Li
3.8826 0.0000 3.3620 Cr
6.2513 0.0000 2.6621 Cr
```

Output
DFT formation energy: 735 meV/atom
offset from the most stable computed form: 119.6 meV/atom



(3)
A plane-wave DFT calculation with PBE was carried out for a geometry-optimized Zn3FeS4 structure.

Structure (POSCAR):
```
Zn3FeS4
1.0
1.9131 1.1045 12.5780
-1.9131 1.1045 12.5780
0.0000 -2.2090 12.5780
Zn Fe S
3 1 4
Cartesian
0.0000 0.0000 0.0000 Zn
0.0000 0.0000 9.4183 Zn
0.0000 0.0000 18.8393 Zn
0.0000 0.0000 28.3034 Fe
0.0000 0.0000 7.0635 S
0.0000 0.0000 16.4797 S
0.0000 0.0000 25.9704 S
0.0000 0.0000 35.3769 S
```

Output
formation energy (no corrections): -0.628 eV per atom



(4)
A plane-wave DFT calculation with PBE was carried out for a geometry-optimized YIn2Ir2 structure.

Structure (POSCAR):
```
YIn2Ir2
1.0
7.9999 0.0000 0.0000
0.0000 7.9999 0.0000
0.0000 0.0000 3.0469
Y In Ir
2 4 4
Cartesian
0.0000 0.0000 0.0000 Y
3.9999 3.9999 0.0000 Y
1.0118 2.9882 0.0000 In
2.9882 6.9881 0.0000 In
5.0117 1.0118 0.0000 In
6.9881 5.0117 0.0000 In
1.3851 5.3850 1.5234 Ir
2.6149 1.3851 1.5234 Ir
5.3850 6.6148 1.5234 Ir
6.6148 2.6149 1.5234 Ir
```

Output
DFT formation energy: -291 meV/atom
offset from the most stable computed form: 74.6 meV/atom



(5)
A plane-wave DFT calculation with PBE was carried out for a geometry-optimized Y3Np5C12 structure.

Structure (POSCAR):
```
Y3Np5C12
1.0
-6.8099 6.8099 6.8099
6.8099 -6.8099 6.8099
6.8099 6.8099 -6.8099
Y Np C
12 20 48
Cartesian
3.4049 1.7025 0.0000 Y
6.8099 3.4049 -1.7025 Y
1.7025 0.0000 3.4049 Y
8.5123 0.0000 3.4049 Y
0.0000 3.4049 1.7025 Y
3.4049 -1.7025 6.8099 Y
3.4049 8.5123 0.0000 Y
6.8099 3.4049 5.1074 Y
-1.7025 6.8099 3.4049 Y
5.1074 6.8099 3.4049 Y
0.0000 3.4049 8.5123 Y
3.4049 5.1074 6.8099 Y
0.0000 0.0000 0.0000 Np
3.4049 3.4049 -3.4049 Np
3.4049 -3.4049 3.4049 Np
6.8099 0.0000 0.0000 Np
10.2148 1.7025 0.0000 Np
6.8099 -3.4049 5.1074 Np
5.1074 6.8099 -3.4049 Np
5.1074 0.0000 3.4049 Np
3.4049 5.1074 0.0000 Np
6.8099 3.4049 1.7025 Np
-3.4049 3.4049 3.4049 Np
0.0000 6.8099 0.0000 Np
0.0000 0.0000 6.8099 Np
3.4049 3.4049 3.4049 Np
0.0000 3.4049 5.1074 Np
3.4049 1.7025 6.8099 Np
1.7025 6.8099 3.4049 Np
1.7025 0.0000 10.2148 Np
0.0000 10.2148 1.7025 Np
-3.4049 5.1074 6.8099 Np
2.0506 -0.2862 0.6880 C
8.1642 4.0929 -3.6911 C
8.8604 0.2862 0.6880 C
8.1642 -2.7170 3.6911 C
6.5237 -0.6880 2.0506 C
10.5010 -1.3544 2.7170 C
0.6880 2.0506 -0.2862 C
9.5268 3.1187 -1.3544 C
4.0929 3.6911 -1.3544 C
6.1219 2.0506 0.2862 C
-0.2862 0.6880 2.0506 C
3.6911 -1.3544 4.0929 C
6.5237 6.1219 -2.0506 C
3.6911 1.3544 2.7170 C
4.0929 -3.6911 8.1642 C
6.1219 -2.0506 6.5237 C
2.7170 3.6911 1.3544 C
7.4978 4.7593 0.2862 C
3.6911 8.1642 -2.7170 C
6.5237 0.6880 4.7593 C
2.0506 6.5237 -0.6880 C
8.1642 2.7170 3.1187 C
1.3544 2.7170 3.6911 C
2.0506 0.2862 6.1219 C
4.7593 6.5237 0.6880 C
5.4555 4.0929 3.1187 C
-1.3544 4.0929 3.6911 C
4.7593 0.2862 7.4978 C
0.2862 6.1219 2.0506 C
3.1187 -1.3544 9.5268 C
-0.6880 2.0506 6.5237 C
4.0929 3.1187 5.4555 C
0.6880 8.8604 0.2862 C
2.7170 10.5010 -1.3544 C
3.1187 5.4555 4.0929 C
0.2862 0.6880 8.8604 C
3.1187 8.1642 2.7170 C
7.0961 6.1219 4.7593 C
0.6880 4.7593 6.5237 C
2.7170 3.1187 8.1642 C
-2.7170 3.6911 8.1642 C
6.1219 4.7593 7.0961 C
-3.6911 8.1642 4.0929 C
0.2862 7.4978 4.7593 C
-1.3544 9.5268 3.1187 C
-2.0506 6.5237 6.1219 C
-1.3544 2.7170 10.5010 C
4.7593 7.0961 6.1219 C
```

Output
DFT formation energy: 745 meV/atom



(6)
A plane-wave DFT calculation with PBE was carried out for a geometry-optimized Mn2IrAuN structure.

Structure (POSCAR):
```
Mn2IrAuN
1.0
3.7834 0.0000 0.0000
0.0000 3.7834 0.0000
0.0000 0.0000 4.3872
Mn Ir Au N
2 1 1 1
Cartesian
0.0000 1.8917 0.0000 Mn
1.8917 0.0000 0.0000 Mn
0.0000 0.0000 2.1936 Ir
1.8917 1.8917 2.1936 Au
1.8917 1.8917 0.0000 N
```

Output
formation energy (no corrections): 0.504 eV per atom



(7)
A plane-wave DFT calculation with PBE was carried out for a geometry-optimized KBe4As3O12 structure.

Structure (POSCAR):
```
KBe4As3O12
1.0
4.9259 2.8440 2.4010
-4.9259 2.8440 2.4010
0.0000 -5.6880 2.4010
K Be As O
1 4 3 12
Cartesian
0.0000 0.0000 0.0000 K
-2.1282 -3.6861 3.6014 Be
0.0000 0.0000 3.6014 Be
-2.1282 3.6861 3.6014 Be
4.2564 0.0000 3.6014 Be
-2.7387 -0.9445 2.4010 As
2.1873 -1.8995 2.4010 As
0.5514 2.8440 2.4010 As
-2.9383 -2.4091 3.3480 O
-3.9783 0.0000 3.6014 O
-0.6172 -3.7492 3.8549 O
-1.5833 0.0000 3.6014 O
-2.9383 2.4091 3.8549 O
1.9892 -3.4453 3.6014 O
0.7917 -1.3712 3.6014 O
-0.6172 3.7492 3.3480 O
0.7917 1.3712 3.6014 O
3.5555 -1.3401 3.3480 O
1.9892 3.4453 3.6014 O
3.5555 1.3401 3.8549 O
```

Output
formation energy (no corrections): -1.733 eV per atom



(8)
A plane-wave DFT calculation with PBE was carried out for a geometry-optimized ZrHN structure.

Structure (POSCAR):
```
ZrHN
1.0
1.5434 -3.1311 0.0000
1.5434 3.1311 0.0000
0.0000 0.0000 5.7522
Zr H N
2 2 2
Cartesian
0.0000 0.0000 0.0000 Zr
0.0000 0.0000 2.8761 Zr
1.5434 0.6518 4.3141 H
1.5434 -0.6518 1.4380 H
1.5434 1.2167 1.4380 N
1.5434 -1.2167 4.3141 N
```

Output
final energy: -6.991 eV/atom



(9)
A plane-wave DFT calculation with PBE was carried out for a geometry-optimized MnAu2Se structure.

Structure (POSCAR):
```
MnAu2Se
1.0
2.7251 -5.2108 0.0000
2.7251 5.2108 0.0000
-2.7177 0.0000 2.7446
Mn Au Se
1 2 1
Cartesian
0.0000 0.0000 0.0000 Mn
1.3626 2.6054 0.0000 Au
1.3626 -2.6054 0.0000 Au
2.7251 0.0000 0.0000 Se
```

Output
formation energy (no corrections): 0.074 eV per atom



(10)
A plane-wave DFT calculation with PBE was carried out for a geometry-optimized UCuAg2Te4 structure.

Structure (POSCAR):
```
UCuAg2Te4
1.0
2.0409 -6.6724 0.0000
2.0409 6.6724 0.0000
0.0000 0.0000 15.3398
U Cu Ag Te
2 2 4 8
Cartesian
2.0409 4.8169 11.5049 U
2.0409 -4.8169 3.8350 U
2.0409 4.4580 3.8350 Cu
2.0409 -4.4580 11.5049 Cu
2.0409 1.6923 8.8607 Ag
2.0409 1.6923 14.1491 Ag
2.0409 -1.6923 1.1908 Ag
2.0409 -1.6923 6.4792 Ag
0.0000 0.0000 0.0000 Te
0.0000 0.0000 7.6699 Te
2.0409 2.8207 1.7341 Te
2.0409 2.8207 5.9358 Te
2.0409 0.5114 11.5049 Te
2.0409 -0.5114 3.8350 Te
2.0409 -2.8207 9.4040 Te
2.0409 -2.8207 13.6057 Te
```

Output
formation energy (no corrections): -0.171 eV per atom



(11)
A plane-wave DFT calculation with PBE was carried out for a geometry-optimized Mg8AgPt2 structure.

Structure (POSCAR):
```
Mg8AgPt2
1.0
4.0297 -5.8707 0.0000
4.0297 5.8707 0.0000
-1.1872 0.0000 4.8263
Mg Ag Pt
8 1 2
Cartesian
0.8497 1.5234 2.8203 Mg
4.0297 3.0068 0.0000 Mg
0.8497 -1.5234 2.8203 Mg
2.7552 0.0000 0.8790 Mg
4.1169 0.0000 3.9473 Mg
6.0224 1.5234 2.0060 Mg
4.0297 -3.0068 0.0000 Mg
6.0224 -1.5234 2.0060 Mg
0.0000 0.0000 0.0000 Ag
3.4360 2.1103 2.4131 Pt
3.4360 -2.1103 2.4131 Pt
```

Output
DFT formation energy: -408 meV/atom
offset from the most stable computed form: 29.2 meV/atom



(12)
A plane-wave DFT calculation with PBE was carried out for a geometry-optimized Ho4SiAs2Se structure.

Structure (POSCAR):
```
Ho4SiAs2Se
1.0
-2.8924 2.8924 5.7926
2.8924 -2.8924 5.7926
2.8924 2.8924 -5.7926
Ho Si As Se
4 1 2 1
Cartesian
0.0000 0.0000 2.8582 Ho
0.0000 2.8924 0.0143 Ho
0.0000 0.0000 8.7269 Ho
0.0000 2.8924 5.7782 Ho
0.0000 2.8924 2.8963 Si
0.0000 0.0000 0.0000 As
2.8924 0.0000 2.8963 As
0.0000 0.0000 5.7926 Se
```

Output
formation energy (no corrections): -1.417 eV per atom



| no. | density (g/cm³) |
| --- | --- |
| 1 | 11.5 |
| 2 | 2.5 |
| 3 | 4.0 |
| 4 | 12.0 |
| 5 | 8.4 |
| 6 | 13.6 |
| 7 | 4.0 |
| 8 | 6.3 |
| 9 | 11.2 |
| 10 | 8.2 |
| 11 | 5.0 |
| 12 | 7.9 |